1.
A relaxed Th3PaSe6 crystal. Source: Alexandria, functional PBE.

## Properties
uncorrected energy	-6.799	eV per atom
SG	P2_1/m

Cell: 4.0935 11.5136 12.1643 Å, 106.13 90.00 90.00°
Site moments in Bohr magnetons follow the coordinates.
Positions (direct):
Th 0.7500 0.4040 0.8352  0.04
Th 0.2500 0.5960 0.1648  0.04
Th 0.7500 0.6896 0.5123  0.03
Th 0.2500 0.3104 0.4877  0.03
Th 0.7500 0.1428 0.0636  0.00
Th 0.2500 0.8572 0.9364  0.00
Pa 0.7500 0.0425 0.7002  0.85
Pa 0.2500 0.9575 0.2998  0.85
Se 0.7500 0.4810 0.6220  0.00
Se 0.2500 0.5190 0.3780  0.00
Se 0.7500 0.9089 0.1166  -0.01
Se 0.2500 0.0911 0.8834  -0.01
Se 0.7500 0.4067 0.0795  0.00
Se 0.2500 0.5933 0.9205  0.00
Se 0.7500 0.7620 0.2952  -0.01
Se 0.2500 0.2380 0.7048  -0.01
Se 0.7500 0.1091 0.4558  -0.01
Se 0.2500 0.8909 0.5442  -0.01
Se 0.7500 0.8041 0.7561  -0.01
Se 0.2500 0.1959 0.2439  -0.01

=====

2.
A relaxed ThPa2Se5 crystal. Source: Alexandria, functional PBE.

## Properties
uncorrected energy	-6.906	eV per atom
SG	Pnma

Cell: 7.7786 8.2238 12.6339 Å, 90.00 90.00 90.00°
Site moments in Bohr magnetons follow the coordinates.
Positions (direct):
Th 0.4116 0.2500 0.5033  0.14
Th 0.5884 0.7500 0.4967  0.14
Th 0.9116 0.7500 0.9967  0.14
Th 0.0884 0.2500 0.0033  0.14
Pa 0.4812 0.4988 0.8206  1.33
Pa 0.5188 0.5012 0.1794  1.33
Pa 0.9812 0.5012 0.6794  1.33
Pa 0.5188 0.9988 0.1794  1.33
Pa 0.0188 0.4988 0.3206  1.33
Pa 0.4812 0.0012 0.8206  1.33
Pa 0.0188 0.0012 0.3206  1.33
Pa 0.9812 0.9988 0.6794  1.33
Se 0.0272 0.2500 0.4999  -0.03
Se 0.9728 0.7500 0.5001  -0.03
Se 0.5272 0.7500 0.0001  -0.03
Se 0.4728 0.2500 0.9999  -0.03
Se 0.3352 0.9513 0.6067  -0.02
Se 0.6648 0.0487 0.3933  -0.02
Se 0.8352 0.0487 0.8933  -0.02
Se 0.6648 0.4513 0.3933  -0.02
Se 0.1648 0.9513 0.1067  -0.02
Se 0.3352 0.5487 0.6067  -0.02
Se 0.1648 0.5487 0.1067  -0.02
Se 0.8352 0.4513 0.8933  -0.02
Se 0.2064 0.2500 0.7801  -0.03
Se 0.7936 0.7500 0.2199  -0.03
Se 0.7064 0.7500 0.7199  -0.03
Se 0.2936 0.2500 0.2801  -0.03
Se 0.6746 0.2500 0.6825  -0.03
Se 0.3254 0.7500 0.3175  -0.03
Se 0.1746 0.7500 0.8175  -0.03
Se 0.8254 0.2500 0.1825  -0.03

=====

3.
A relaxed ThPaSe2 crystal. Source: Alexandria, functional PBE.

## Properties
uncorrected energy	-6.818	eV per atom
relative energy among the computed polymorphs	518.9	meV/atom
SG	R-3m

Cell: 3.8256 3.8256 9.7458 Å, 78.68 78.68 60.00°
Site moments in Bohr magnetons follow the coordinates.
Positions (direct):
Pa 0.5000 0.5000 0.5000  1.02
Se 0.1011 0.1011 0.6967  -0.02
Se 0.8989 0.8989 0.3033  -0.02
Th 0.0000 0.0000 0.0000  -0.05

=====

4.
A relaxed ThPaSe2 crystal. Source: Alexandria, functional PBE.

## Properties
uncorrected energy	-7.245	eV per atom
relative energy among the computed polymorphs	91.3	meV/atom
SG	R3m

Cell: 3.8643 3.8643 8.1412 Å, 76.27 76.27 60.00°
Site moments in Bohr magnetons follow the coordinates.
Positions (direct):
Th 0.6687 0.6687 0.9938  -0.02
Pa 0.4977 0.4977 0.5068  0.47
Se 0.0857 0.0857 0.7428  -0.01
Se 0.2478 0.2478 0.2566  -0.01

=====

5.
A relaxed Th4Pa3Se8 crystal. Source: Alexandria, functional PBE.

## Properties
uncorrected energy	-7.185	eV per atom
SG	C2/m

Cell: 8.2827 8.2374 8.2374 Å, 90.03 120.19 120.19°
Site moments in Bohr magnetons follow the coordinates.
Positions (direct):
Th 0.5000 0.0000 0.0000  0.01
Th 0.0000 0.5000 0.0000  0.01
Th 0.0000 0.0000 0.0000  0.00
Th 0.0000 0.0000 0.5000  0.01
Pa 0.5000 0.5000 0.0000  0.19
Pa 0.5000 0.0000 0.5000  0.19
Pa 0.5000 0.5000 0.5000  0.26
Se 0.5243 0.2654 0.2654  0.00
Se 0.0000 0.7372 0.2628  0.00
Se 0.0069 0.2669 0.2669  0.00
Se 0.5000 0.7472 0.2528  0.00
Se 0.5000 0.2528 0.7472  0.00
Se 0.9931 0.7331 0.7331  0.00
Se 0.0000 0.2628 0.7372  0.00
Se 0.4757 0.7346 0.7346  0.00

=====

6.
A relaxed Th3PaSe4 crystal. Source: Alexandria, functional PBE.

## Properties
uncorrected energy	-7.163	eV per atom
SG	I4/mmm

Cell: 5.8975 5.8975 7.2275 Å, 114.08 114.08 90.01°
Positions (direct):
Pa 0.0000 0.0000 0.0000
Se 0.0000 0.5000 0.0000
Se 0.5000 0.0000 0.0000
Se 0.2467 0.2467 0.4933
Se 0.7533 0.7533 0.5067
Th 0.5000 0.5000 0.0000
Th 0.7500 0.2500 0.5000
Th 0.2500 0.7500 0.5000

=====

7.
A relaxed ThPaSe2 crystal. Source: Alexandria, functional PBE.

## Properties
uncorrected energy	-7.337	eV per atom
relative energy among the computed polymorphs	0.0	meV/atom
SG	C2/c

Cell: 6.9471 7.4264 9.2021 Å, 106.32 104.27 108.94°
Site moments in Bohr magnetons follow the coordinates.
Positions (direct):
Th 0.3147 0.0647 0.6293  0.00
Th 0.5599 0.3099 0.1197  0.00
Th 0.6853 0.9353 0.3707  0.00
Th 0.4401 0.6901 0.8803  0.00
Pa 0.9348 0.1848 0.8697  0.28
Pa 0.0652 0.8152 0.1303  0.28
Pa 0.1908 0.4408 0.3816  0.32
Pa 0.8092 0.5592 0.6184  0.32
Se 0.7017 0.4448 0.8744  0.00
Se 0.1727 0.9296 0.8744  0.00
Se 0.2983 0.5552 0.1256  0.00
Se 0.8273 0.0704 0.1256  0.00
Se 0.9405 0.6843 0.3746  0.00
Se 0.5659 0.8097 0.6254  0.00
Se 0.0595 0.3157 0.6254  0.00
Se 0.4341 0.1903 0.3746  0.00

=====

8.
A relaxed ThPaSe2 crystal. Source: Alexandria, functional PBE.

## Properties
uncorrected energy	-7.110	eV per atom
relative energy among the computed polymorphs	226.4	meV/atom
SG	Fm-3m

Cell: 5.0897 5.0897 5.0897 Å, 60.00 60.00 60.00°
Site moments in Bohr magnetons follow the coordinates.
Positions (direct):
Pa 0.5000 0.5000 0.5000  0.62
Th 0.0000 0.0000 0.0000  0.07
Se 0.2500 0.2500 0.2500  -0.01
Se 0.7500 0.7500 0.7500  -0.01

=====

9.
A relaxed Th2PaSe3 crystal. Source: Alexandria, functional PBE.

## Properties
uncorrected energy	-7.221	eV per atom
SG	C2/m

Cell: 7.2980 7.2980 7.1759 Å, 99.90 99.90 121.45°
Site moments in Bohr magnetons follow the coordinates.
Positions (direct):
Th 0.8333 0.1667 0.5000  0.00
Th 0.3333 0.6667 0.0000  0.00
Th 0.1701 0.8299 0.5000  0.00
Th 0.4966 0.5034 0.5000  0.00
Pa 0.0014 0.9986 0.0000  0.06
Pa 0.6653 0.3347 0.0000  0.06
Se 0.5933 0.9267 0.7598  0.00
Se 0.0733 0.4066 0.2402  0.00
Se 0.9123 0.5840 0.7544  0.00
Se 0.2507 0.2456 0.7544  0.00
Se 0.4160 0.0877 0.2456  0.00
Se 0.7544 0.7493 0.2456  0.00

=====

10.
A relaxed Pa2TiSe8 crystal. Source: Alexandria, functional PBE.

## Properties
uncorrected energy	-5.588	eV per atom
SG	P-3m1

Cell: 10.2936 6.4185 6.4185 Å, 120.00 90.00 90.00°
Positions (direct):
Pa 0.8450 0.6667 0.3333
Pa 0.1550 0.3333 0.6667
Ti 0.5000 0.0000 0.0000
Se 0.8916 0.3333 0.6667
Se 0.1084 0.6667 0.3333
Se 0.3374 0.1645 0.3290
Se 0.6626 0.8355 0.6710
Se 0.6626 0.3290 0.1645
Se 0.3374 0.6710 0.8355
Se 0.3374 0.1645 0.8355
Se 0.6626 0.8355 0.1645

=====

Number 1: N(E_F) 17.053 states/eV per cell, magnetization 1.06 μB/f.u.. Number 2: N(E_F) 34.272 states/eV per cell, magnetization 3.36 μB/f.u.. Number 3: N(E_F) 6.174 states/eV per cell, magnetization 1.14 μB/f.u.. Number 4: N(E_F) 5.492 states/eV per cell, magnetization 0.52 μB/f.u.. Number 5: N(E_F) 19.036 states/eV per cell, magnetization 0.81 μB/f.u.. Number 6: N(E_F) 7.804 states/eV per cell, magnetization 0.00 μB/f.u.. Number 7: N(E_F) 20.690 states/eV per cell, magnetization 0.35 μB/f.u.. Number 8: N(E_F) 5.458 states/eV per cell, magnetization 0.81 μB/f.u.. Number 9: N(E_F) 13.012 states/eV per cell, magnetization 0.07 μB/f.u.. Number 10: N(E_F) 10.073 states/eV per cell, magnetization 0.00 μB/f.u..